Run a
A plane-wave DFT calculation with PBE-GGA was carried out for an optimized crystal structure of PrHoPdRh.

Cell lengths 4.9968, 4.9968, 4.9968 Å; angles 60.00, 60.00, 60.00 degrees
With the nearest neighbours (Å) after each atom.
Atoms (fractional coordinates):
Pr (0.2500, 0.2500, 0.2500)  4 Pd 3.06, 4 Rh 3.06
Rh (0.0000, 0.0000, 0.0000)  4 Pr 3.06, 4 Ho 3.06
Ho (0.7500, 0.7500, 0.7500)  4 Pd 3.06, 4 Rh 3.06
Pd (0.5000, 0.5000, 0.5000)  4 Ho 3.06, 4 Pr 3.06

SG   F-43m
Size of the total moment   0.00 μB per formula unit
Fermi-level density of states   2.907 states/eV/cell

---

Run b
A plane-wave DFT calculation with PBE-GGA was carried out for an optimized crystal structure of PrHoPdRh.

Cell lengths 3.7960, 4.4877, 5.6946 Å; angles 90.00, 109.47, 90.00 degrees
With the nearest neighbours (Å) after each atom.
Atoms (fractional coordinates):
Pr (0.1439, 0.0000, 0.2877)  3 Rh 2.85-3.16, 4 Pd 3.01
Ho (0.8653, 0.5000, 0.7307)  4 Rh 2.98, 3 Pd 3.00-3.05
Pd (0.5818, 0.5000, 0.1635)  2 Rh 2.91, 3 Ho 3.00-3.05, 4 Pr 3.01
Rh (0.4090, 0.0000, 0.8181)  3 Pr 2.85-3.16, 2 Pd 2.91, 4 Ho 2.98

SG   Amm2
Size of the total moment   0.00 μB per formula unit
Fermi-level density of states   2.671 states/eV/cell

---

The least stable of them is run a.

---

Run a
A plane-wave DFT calculation with PBE-GGA was carried out for an optimized crystal structure of Ho2PdPt4.

Cell lengths 9.0060, 5.4883, 6.1971 Å; angles 116.28, 90.00, 90.00 degrees
With the nearest neighbours (Å) after each atom.
Atoms (fractional coordinates):
Ho (0.0000, 0.6445, 0.2891)  8 Pt 2.88-3.09, 2 Pd 3.18, 1 Ho 3.21
Ho (0.0000, 0.3555, 0.7109)  8 Pt 2.88-3.09, 2 Pd 3.18, 1 Ho 3.21
Ho (0.5000, 0.8555, 0.7109)  8 Pt 2.88-3.09, 2 Pd 3.18, 1 Ho 3.21
Ho (0.5000, 0.1445, 0.2891)  8 Pt 2.88-3.09, 2 Pd 3.18, 1 Ho 3.21
Pd (0.0000, 0.0000, 0.0000)  4 Pt 2.64
Pd (0.5000, 0.5000, 0.0000)  4 Pt 2.64
Pt (0.7504, 0.7486, 0.0000)  2 Pd 2.64, 4 Pt 2.74-2.78
Pt (0.7500, 0.4998, 0.5000)  4 Pt 2.74-2.78, 4 Ho 2.88-2.89
Pt (0.7500, 0.9998, 0.5000)  4 Pt 2.74-2.78, 4 Ho 2.88-2.89
Pt (0.7496, 0.2486, 0.0000)  2 Pd 2.64, 4 Pt 2.74-2.78
Pt (0.2504, 0.7514, 0.0000)  2 Pd 2.64, 4 Pt 2.74-2.78
Pt (0.2500, 0.0002, 0.5000)  4 Pt 2.74-2.78, 4 Ho 2.88-2.89
Pt (0.2500, 0.5002, 0.5000)  4 Pt 2.74-2.78, 4 Ho 2.88-2.89
Pt (0.2496, 0.2514, 0.0000)  2 Pd 2.64, 4 Pt 2.74-2.78

SG   Cmce
Size of the total moment   0.00 μB per formula unit
Fermi-level density of states   9.574 states/eV/cell

---

Run b
A plane-wave DFT calculation with PBE-GGA was carried out for an optimized crystal structure of Ho2PdPt4.

Cell lengths 3.8910, 3.8910, 9.6068 Å; angles 101.68, 101.68, 90.00 degrees
With the nearest neighbours (Å) after each atom.
Atoms (fractional coordinates):
Ho (0.6038, 0.6038, 0.2076)  4 Pt 2.84
Ho (0.3962, 0.3962, 0.7924)  4 Pt 2.84
Pd (0.0000, 0.0000, 0.0000)  2 Pt 2.63
Pt (0.1430, 0.1430, 0.2859)  1 Pd 2.63, 4 Pt 2.77, 4 Ho 2.84
Pt (0.8570, 0.8570, 0.7141)  1 Pd 2.63, 4 Pt 2.77, 4 Ho 2.84
Pt (0.7500, 0.2500, 0.5000)  8 Pt 2.75-2.77
Pt (0.2500, 0.7500, 0.5000)  8 Pt 2.75-2.77

SG   I4/mmm
Size of the total moment   0.00 μB per formula unit
Fermi-level density of states   3.758 states/eV/cell

---

The least stable of them is run a.

---

Run a
A plane-wave DFT calculation with PBE-GGA was carried out for an optimized crystal structure of Ho7Pd2Pt2.

Cell lengths 3.8041, 9.2102, 9.2102 Å; angles 62.11, 78.08, 78.08 degrees
With the nearest neighbours (Å) after each atom.
Atoms (fractional coordinates):
Ho (0.8077, 0.0896, 0.2950)  3 Pt 2.84-2.96
Ho (0.8767, 0.3790, 0.8676)  2 Pd 2.87, 2 Pt 2.97
Ho (0.5000, 0.9908, 0.0092)  2 Pd 2.84
Ho (0.6151, 0.4914, 0.2783)  3 Pd 2.91-3.02, 2 Pt 2.93
Ho (0.3849, 0.7217, 0.5086)  3 Pd 2.91-3.02, 2 Pt 2.93
Ho (0.1923, 0.7050, 0.9104)  3 Pt 2.84-2.96
Ho (0.1233, 0.1324, 0.6210)  2 Pd 2.87, 2 Pt 2.97
Pd (0.0000, 0.7686, 0.2314)  6 Ho 2.84-3.02
Pd (0.5000, 0.3632, 0.6368)  6 Ho 2.87-2.91
Pt (0.7396, 0.8665, 0.6543)  7 Ho 2.84-2.97
Pt (0.2604, 0.3457, 0.1335)  7 Ho 2.84-2.97

SG   Imm2
Size of the total moment   0.00 μB per formula unit
Fermi-level density of states   12.214 states/eV/cell

---

Run b
A plane-wave DFT calculation with PBE-GGA was carried out for an optimized crystal structure of Ho7Pd2Pt2.

Cell lengths 6.6963, 6.9238, 6.6963 Å; angles 90.00, 99.42, 90.00 degrees
With the nearest neighbours (Å) after each atom.
Atoms (fractional coordinates):
Ho (0.9998, 0.2611, 0.5003)  2 Pd 2.83-2.84, 2 Pt 3.04-3.05
Ho (0.5003, 0.7389, 0.9998)  2 Pd 2.83-2.84, 2 Pt 3.04-3.05
Ho (0.0002, 0.7389, 0.4997)  2 Pd 2.83-2.84, 2 Pt 3.04-3.05
Ho (0.4997, 0.2611, 0.0002)  2 Pd 2.83-2.84, 2 Pt 3.04-3.05
Ho (0.0000, 0.0000, 0.0000)  2 Pd 2.84
Ho (0.5002, 0.7412, 0.4998)  2 Pt 2.79, 2 Pd 2.89
Ho (0.4998, 0.2588, 0.5002)  2 Pt 2.79, 2 Pd 2.89
Pd (0.7221, 0.0000, 0.2779)  7 Ho 2.83-2.89
Pd (0.2779, 0.0000, 0.7221)  7 Ho 2.83-2.89
Pt (0.7585, 0.5000, 0.7585)  6 Ho 2.79-3.05
Pt (0.2415, 0.5000, 0.2415)  6 Ho 2.79-3.05

SG   Cmmm
Size of the total moment   0.00 μB per formula unit
Fermi-level density of states   11.085 states/eV/cell

---

The least stable of them is run b.

---

Run a
A plane-wave DFT calculation with PBE-GGA was carried out for an optimized crystal structure of HoPdPt.

Cell lengths 3.5403, 4.4688, 4.4688 Å; angles 120.00, 90.00, 90.00 degrees
With the nearest neighbours (Å) after each atom.
Atoms (fractional coordinates):
Pd (0.1663, 0.0000, 0.0000)  3 Pt 2.58
Ho (0.6667, 0.6667, 0.3333)  6 Pd 3.13, 6 Pt 3.13
Pt (0.1670, 0.3333, 0.6667)  3 Pd 2.58

SG   P-6m2
Size of the total moment   0.00 μB per formula unit
Fermi-level density of states   2.756 states/eV/cell

---

Run b
A plane-wave DFT calculation with PBE-GGA was carried out for an optimized crystal structure of HoPdPt.

Cell lengths 5.7041, 3.8348, 3.9940 Å; angles 89.99, 89.99, 47.71 degrees
With the nearest neighbours (Å) after each atom.
Atoms (fractional coordinates):
Ho (0.5000, 0.5000, 0.0000)  4 Pt 2.85, 4 Pd 2.91
Pd (0.0000, 0.0000, 0.5000)  4 Pt 2.77, 4 Ho 2.91
Pt (0.0000, 0.5000, 0.0000)  4 Pd 2.77, 4 Ho 2.85

SG   Pmmm
Size of the total moment   0.00 μB per formula unit
Fermi-level density of states   1.412 states/eV/cell

---

Run c
A plane-wave DFT calculation with PBE-GGA was carried out for an optimized crystal structure of HoPdPt.

Cell lengths 4.4281, 5.0568, 5.6691 Å; angles 90.00, 90.00, 115.97 degrees
With the nearest neighbours (Å) after each atom.
Atoms (fractional coordinates):
Ho (0.6898, 0.8796, 0.7500)  5 Pd 2.75-2.92
Ho (0.3102, 0.1204, 0.2500)  5 Pd 2.75-2.92
Pd (0.6123, 0.7246, 0.2500)  5 Ho 2.75-2.92, 4 Pt 2.82
Pd (0.3877, 0.2754, 0.7500)  5 Ho 2.75-2.92, 4 Pt 2.82
Pt (0.0000, 0.5000, 0.0000)  4 Pd 2.82, 2 Pt 2.83, 6 Ho 3.14-3.16
Pt (0.0000, 0.5000, 0.5000)  4 Pd 2.82, 2 Pt 2.83, 6 Ho 3.14-3.16

SG   Cmcm
Size of the total moment   0.00 μB per formula unit
Fermi-level density of states   2.735 states/eV/cell

---

The least stable of them is run b.